## KRb2Cd2F7 (PBE)

Data for a geometry-optimized KRb2Cd2F7 structure.

Computed properties:
The value obtained for the size of the total moment is 0.0 μB per formula unit. Its energy is -47.86 eV per formula unit. The value obtained for the uncorrected formation energy is -240.4 kJ per mole of atoms. Its space group is No. 139. The crystal system is tetragonal. Its density of states at the Fermi level is 0.000 states/eV per atom.

abc: 4.490 4.490 11.883
angles: 79.10 79.10 90.00
Fractional positions:
F  0.406  0.906  0.189
Rb  0.816  0.816  0.369
K  0.000  0.000  0.000
F  0.094  0.594  0.811
F  0.500  0.500  0.000
Cd  0.598  0.598  0.804
F  0.304  0.304  0.391
Cd  0.402  0.402  0.196
F  0.696  0.696  0.609
F  0.906  0.406  0.189
Rb  0.184  0.184  0.631
F  0.594  0.094  0.811